Record 1
NaHg2BiRh: relaxed, PBE.

abc: 5.3166 5.3166 5.2121
angles: 90.00 90.00 90.00
Positions (direct):
Na1 0.0000 0.0000 0.0000
Hg1 0.0000 0.5000 0.5000
Hg2 0.5000 0.0000 0.5000
Bi1 0.5000 0.5000 0.0000
Rh1 0.5000 0.5000 0.5000

## Properties
Total magnetization = 0.00 μB/f.u.
DFT formation energy = -0.01 eV per atom
Electronic total energy = -13.21 eV per cell


Record 2
Na2HgBiS4: relaxed, PBE.

abc: 7.1169 3.8863 7.2731
angles: 90.00 110.87 90.00
Positions (direct):
Na1 0.0000 0.0000 0.0000
Na2 0.5000 0.5000 0.0000
Hg1 0.0000 0.5000 0.5000
Bi1 0.5000 0.0000 0.5000
S1 0.2290 0.0000 0.7104
S2 0.2710 0.5000 0.2452
S3 0.7290 0.5000 0.7548
S4 0.7710 0.0000 0.2896

## Properties
Total magnetization = 0.00 μB/f.u.
E_form (uncorrected) = -0.509 eV per atom
Electronic total energy = -27.40 eV per cell